Record 1
An optimized crystal structure of Pr6Y12Tl, computed with PBE.

a = 12.0651 Å, b = 12.0651 Å, c = 15.0852 Å
α = 90.00°, β = 90.00°, γ = 120.00°
Space group R-3 (No. 148, hexagonal axes)
Inequivalent atoms, fractional coordinates:
Pr (0.0138, 0.4224, 0.1841) (multiplicity 18)
Y (0.0029, 0.1740, 0.3139) (multiplicity 18)
Y (0.0468, 0.8521, 0.9157) (multiplicity 18)
Tl (0.0000, 0.0000, 0.5000) (multiplicity 3)

Values from the calculation:
Total energy: -5.65 eV per atom
V: 33.36 Å³ per atom
Total magnetization: 0.000 μB per formula unit
ΔH_f (0 K): 0.07 eV/atom

---

Record 2
An optimized crystal structure of Pr2Y3Tl2, computed with PBE.

a = 12.6172 Å, b = 4.4112 Å, c = 8.8191 Å
α = 90.00°, β = 112.27°, γ = 90.00°
Space group C2/m (No. 12)
Inequivalent atoms, fractional coordinates:
Pr (0.1398, 0.0000, 0.3003) (multiplicity 4)
Y (0.0000, 0.5000, 0.5000) (multiplicity 2)
Y (0.1206, 0.5000, 0.9439) (multiplicity 4)
Tl (0.1685, 0.0000, 0.7122) (multiplicity 4)

Values from the calculation:
Total energy: -5.00 eV per atom
V: 32.44 Å³ per atom
Total magnetization: 0.902 μB per formula unit
ΔH_f (0 K): -0.19 eV/atom